1.
This record from the Alexandria database describes a geometry-optimized Rb3TbEr2Se6 structure. The functional is PBE.

```
12
Lattice="3.660 -6.339 0.000 3.660 6.339 0.000 -2.441 0.000 7.990" Properties=species:S:1:pos:R:3 pbc="T T T"
Rb 0.000 0.000 0.000
Rb 3.660 2.106 0.000
Rb 3.660 -2.106 0.000
Tb 2.439 0.000 3.995
Er 2.439 4.226 3.995
Er 2.439 -4.226 3.995
Se 1.208 2.132 2.439
Se -0.023 0.000 5.550
Se 1.208 -2.132 2.439
Se 3.670 2.132 5.551
Se 4.902 0.000 2.440
Se 3.670 -2.132 5.551
```

energy relative to the elements, uncorrected = -1735 meV/atom
space group = C2/m, No. 12
spin magnetization = 0.0 μB per cell
E_tot = -4.8653 eV/atom



2.
This record from the Alexandria database describes a geometry-optimized Sr2EuAg structure. The functional is PBE.

```
4
Lattice="3.972 0.000 0.000 0.000 3.972 0.000 0.000 0.000 10.066" Properties=species:S:1:pos:R:3 pbc="T T T"
Sr 0.000 0.000 1.910
Sr 0.000 0.000 8.155
Eu 1.986 1.986 5.033
Ag 1.986 1.986 0.000
```

calculated formation energy = -111 meV/atom
space group = P4/mmm, No. 123
spin magnetization = 7.7 μB per cell
E_tot = -4.2335 eV/atom



3.
This record from the Alexandria database describes a geometry-optimized Pr2SnPd6 structure. The functional is PBE.

```
9
Lattice="5.020 -2.928 0.000 5.020 2.928 0.000 -1.501 0.000 6.172" Properties=species:S:1:pos:R:3 pbc="T T T"
Pr 0.935 0.000 2.034
Pr 7.603 0.000 4.137
Sn 4.269 0.000 3.086
Pd 3.408 1.548 1.088
Pd 5.130 1.548 5.084
Pd 2.527 0.000 5.034
Pd 6.011 0.000 1.137
Pd 3.408 -1.548 1.088
Pd 5.130 -1.548 5.084
```

calculated formation energy = -717 meV/atom
space group = C2/m, No. 12
spin magnetization = 0.0 μB per cell
E_tot = -5.6860 eV/atom



4.
This record from the Alexandria database describes a geometry-optimized La12Si6Sn structure. The functional is PBE.

```
19
Lattice="-5.239 5.239 5.239 5.239 -5.239 5.239 5.239 5.239 -5.239" Properties=species:S:1:pos:R:3 pbc="T T T"
La 5.239 -2.131 3.255
La 3.108 1.984 0.000
La 7.370 1.984 0.000
La 3.255 5.239 -2.131
La 1.984 0.000 3.108
La 0.000 3.108 1.984
La 5.239 2.131 3.255
La 3.255 5.239 2.131
La 1.984 0.000 7.370
La -2.131 3.255 5.239
La 2.131 3.255 5.239
La 0.000 7.370 1.984
Si 5.239 0.000 1.174
Si 5.239 4.064 0.000
Si 1.174 5.239 0.000
Si 4.064 0.000 5.239
Si 0.000 1.174 5.239
Si 0.000 5.239 4.064
Sn 0.000 0.000 0.000
```

energy relative to the elements, uncorrected = -572 meV/atom
space group = Im-3, No. 204
spin magnetization = 0.0 μB per cell
E_tot = -5.6075 eV/atom



5.
This record from the Alexandria database describes a geometry-optimized Pu3Hg5 structure. The functional is PBE.

```
8
Lattice="8.768 0.000 0.000 -4.384 7.594 0.000 0.000 0.000 3.135" Properties=species:S:1:pos:R:3 pbc="T T T"
Pu -2.843 4.924 0.000
Pu 1.541 2.670 0.000
Pu 5.686 0.000 0.000
Hg -1.267 2.195 1.567
Hg 2.534 0.000 1.567
Hg 0.000 5.062 1.567
Hg 4.384 2.531 1.567
Hg 3.117 5.399 1.567
```

calculated formation energy = -95 meV/atom
space group = P-62m, No. 189
spin magnetization = 17.6 μB per cell
E_tot = -5.6579 eV/atom



6.
This record from the Alexandria database describes a geometry-optimized GeBSb2F structure. The functional is PBE.

```
5
Lattice="5.522 0.000 0.000 0.000 5.522 0.000 0.000 0.000 3.735" Properties=species:S:1:pos:R:3 pbc="T T T"
Ge 0.000 0.000 0.000
B 0.000 0.000 1.868
Sb 0.000 2.761 0.000
Sb 2.761 0.000 0.000
F 2.761 2.761 1.868
```

energy relative to the elements, uncorrected = 648 meV/atom
space group = P4/mmm, No. 123
spin magnetization = 0.0 μB per cell
E_tot = -3.6344 eV/atom



7.
This record from the Alexandria database describes a geometry-optimized Tb5PmHo5 structure. The functional is PBE.

```
11
Lattice="6.848 0.000 0.000 2.045 6.635 0.000 1.879 1.490 7.957" Properties=species:S:1:pos:R:3 pbc="T T T"
Tb 0.000 0.000 0.000
Tb 3.042 4.719 2.846
Tb 4.284 2.697 5.721
Tb 6.488 5.428 2.236
Tb 7.730 3.406 5.111
Pm 1.023 3.318 0.000
Ho 2.290 1.386 2.529
Ho 5.025 6.061 5.207
Ho 4.447 3.318 0.000
Ho 5.747 2.064 2.750
Ho 8.482 6.739 5.428
```

calculated formation energy = 146 meV/atom
space group = P-1, No. 2
spin magnetization = 0.0 μB per cell
E_tot = -4.4714 eV/atom



8.
This record from the Alexandria database describes a geometry-optimized Ba6RhAu structure. The functional is PBE.

```
8
Lattice="3.976 -6.847 0.000 3.976 6.847 0.000 -2.411 0.000 7.559" Properties=species:S:1:pos:R:3 pbc="T T T"
Ba 1.265 2.164 1.822
Ba 0.120 0.000 5.769
Ba 1.265 -2.164 1.822
Ba 4.276 2.164 5.737
Ba 5.422 0.000 1.791
Ba 4.276 -2.164 5.737
Rh 0.000 0.000 0.000
Au 2.771 0.000 3.780
```

calculated formation energy = -309 meV/atom
space group = C2/m, No. 12
spin magnetization = 0.0 μB per cell
E_tot = -3.0798 eV/atom



9.
This record from the Alexandria database describes a geometry-optimized SnAsNF2 structure. The functional is PBE.

```
5
Lattice="4.396 0.000 0.000 0.000 4.396 0.000 0.000 0.000 3.973" Properties=species:S:1:pos:R:3 pbc="T T T"
Sn 0.000 0.000 0.000
As 2.198 2.198 1.986
N 2.198 2.198 0.000
F 0.000 2.198 1.986
F 2.198 0.000 1.986
```

energy relative to the elements, uncorrected = -500 meV/atom
space group = P4/mmm, No. 123
spin magnetization = 0.0 μB per cell
E_tot = -4.6438 eV/atom



10.
This record from the Alexandria database describes a geometry-optimized PtSe3O structure. The functional is PBE.

```
5
Lattice="4.935 0.000 0.000 0.000 4.935 0.000 0.000 0.000 4.935" Properties=species:S:1:pos:R:3 pbc="T T T"
Pt 0.000 0.000 0.000
Se 0.000 0.000 2.467
Se 0.000 2.467 0.000
Se 2.467 0.000 0.000
O 2.467 2.467 2.467
```

energy relative to the elements, uncorrected = 1099 meV/atom
space group = Pm-3m, No. 221
spin magnetization = 0.0 μB per cell
E_tot = -3.1914 eV/atom